VASP calculation (PBE) on crystalline YHgB at its relaxed geometry.

Cell and atoms, written as POSCAR:
```
YHgB
1.0
3.2622 0.0000 0.0000
-0.0101 5.9147 0.0000
-1.6121 -0.3827 6.1600
Y Hg B
2 2 2
direct
0.1319 0.1830 0.2637 Y
0.8681 0.8170 0.7363 Y
0.4203 0.2905 0.8337 Hg
0.5797 0.7095 0.1663 Hg
0.2625 0.5462 0.5250 B
0.7375 0.4538 0.4750 B
```

Calculated values
- total magnetization (μB/atom) = 0.0000
- space-group type = No. 2
- DOS at the Fermi energy (states/eV/f.u.) = 1.56
- energy relative to the lowest polymorph listed for this composition (meV per atom) = 207
- E_tot (hartree per atom) = -0.1725